1.
An optimized crystal structure of Tb3Bi. Source: the Alexandria database, functional PBE-GGA. Values from VASP.

Quantum ESPRESSO input file:
```
&SYSTEM
  ibrav = 0, nat = 4, ntyp = 2
/
ATOMIC_SPECIES
Tb 158.93 Tb.upf
Bi 208.98 Bi.upf
ATOMIC_POSITIONS angstrom
Tb 0.0000 0.0000 0.0000
Tb 0.0000 2.6689 2.3211
Tb 1.8739 0.0000 3.1724
Bi 1.8739 2.6689 5.2629
CELL_PARAMETERS angstrom
3.7478 0.0000 0.0000
0.0000 5.3378 0.0000
0.0000 0.0000 6.0265
```

Summary:
- Crystal system: orthorhombic
- Energy of formation: -0.28 eV per atom

2.
An optimized crystal structure of KNa2. Source: the Alexandria database, functional PBE-GGA. Values from VASP.

Quantum ESPRESSO input file:
```
&SYSTEM
  ibrav = 0, nat = 3, ntyp = 2
/
ATOMIC_SPECIES
K 39.10 K.upf
Na 22.99 Na.upf
ATOMIC_POSITIONS angstrom
K 0.0000 0.0000 0.0000
Na 0.0000 0.0000 4.5912
Na 0.0000 0.0000 10.1645
CELL_PARAMETERS angstrom
-2.2002 2.2002 7.3779
2.2002 -2.2002 7.3779
2.2002 2.2002 -7.3779
```

Summary:
- Crystal system: tetragonal
- E above lowest polymorph: 2.05 kJ/mol of atoms
- Energy of formation: 0.02 eV per atom

3.
An optimized crystal structure of VSnHPd2. Source: the Alexandria database, functional PBE-GGA. Values from VASP.

Quantum ESPRESSO input file:
```
&SYSTEM
  ibrav = 0, nat = 5, ntyp = 4
/
ATOMIC_SPECIES
V 50.94 V.upf
Sn 118.71 Sn.upf
H 1.01 H.upf
Pd 106.42 Pd.upf
ATOMIC_POSITIONS angstrom
V 0.0000 0.0000 0.0000
Sn 1.9865 1.9865 0.0000
H 0.0000 0.0000 2.1357
Pd 0.0000 1.9865 2.1357
Pd 1.9865 0.0000 2.1357
CELL_PARAMETERS angstrom
3.9730 0.0000 0.0000
0.0000 3.9730 0.0000
0.0000 0.0000 4.2714
```

Summary:
- Crystal system: tetragonal
- Raw total energy: -5.541 eV per atom

4.
An optimized crystal structure of TmPuTlIr. Source: the Alexandria database, functional PBE-GGA. Values from VASP.

Quantum ESPRESSO input file:
```
&SYSTEM
  ibrav = 0, nat = 4, ntyp = 4
/
ATOMIC_SPECIES
Tm 168.93 Tm.upf
Pu 244.00 Pu.upf
Tl 204.38 Tl.upf
Ir 192.22 Ir.upf
ATOMIC_POSITIONS angstrom
Tm 0.0000 0.0000 0.0000
Pu 3.5899 3.5899 3.5899
Tl 5.3848 5.3848 5.3848
Ir 1.7949 1.7949 1.7949
CELL_PARAMETERS angstrom
0.0000 3.5899 3.5899
3.5899 0.0000 3.5899
3.5899 3.5899 0.0000
```

Summary:
- Crystal system: cubic
- Energy of formation: -0.26 eV per atom

5.
An optimized crystal structure of PuMg3Rh4. Source: the Alexandria database, functional PBE-GGA. Values from VASP.

Quantum ESPRESSO input file:
```
&SYSTEM
  ibrav = 0, nat = 8, ntyp = 3
/
ATOMIC_SPECIES
Pu 244.00 Pu.upf
Mg 24.30 Mg.upf
Rh 102.91 Rh.upf
ATOMIC_POSITIONS angstrom
Pu 0.0000 0.0000 0.0000
Mg 0.0000 0.0000 3.2224
Mg 2.2542 2.2542 0.0000
Mg 2.2542 2.2542 3.2224
Rh 0.0000 2.2542 1.6283
Rh 0.0000 2.2542 4.8165
Rh 2.2542 0.0000 1.6283
Rh 2.2542 0.0000 4.8165
CELL_PARAMETERS angstrom
4.5084 0.0000 0.0000
0.0000 4.5084 0.0000
0.0000 0.0000 6.4448
```

Summary:
- Crystal system: tetragonal
- Energy of formation: -0.53 eV per atom

6.
An optimized crystal structure of Pm3BiOs. Source: the Alexandria database, functional PBE-GGA. Values from VASP.

Quantum ESPRESSO input file:
```
&SYSTEM
  ibrav = 0, nat = 5, ntyp = 3
/
ATOMIC_SPECIES
Pm 145.00 Pm.upf
Bi 208.98 Bi.upf
Os 190.23 Os.upf
ATOMIC_POSITIONS angstrom
Pm 0.0000 0.0000 2.7461
Pm 0.0000 2.7461 0.0000
Pm 2.7461 0.0000 0.0000
Bi 2.7461 2.7461 2.7461
Os 0.0000 0.0000 0.0000
CELL_PARAMETERS angstrom
5.4923 0.0000 0.0000
0.0000 5.4923 0.0000
0.0000 0.0000 5.4923
```

Summary:
- Crystal system: cubic
- Energy of formation: -0.19 eV per atom

7.
An optimized crystal structure of TaCrPd2Au. Source: the Alexandria database, functional PBE-GGA. Values from VASP.

Quantum ESPRESSO input file:
```
&SYSTEM
  ibrav = 0, nat = 5, ntyp = 4
/
ATOMIC_SPECIES
Ta 180.95 Ta.upf
Cr 52.00 Cr.upf
Pd 106.42 Pd.upf
Au 196.97 Au.upf
ATOMIC_POSITIONS angstrom
Ta 0.0000 0.0000 0.0000
Cr 2.4211 2.4211 0.0000
Pd 0.0000 2.4211 2.2525
Pd 2.4211 0.0000 2.2525
Au 2.4211 2.4211 2.2525
CELL_PARAMETERS angstrom
4.8422 0.0000 0.0000
0.0000 4.8422 0.0000
0.0000 0.0000 4.5049
```

Summary:
- Crystal system: tetragonal
- Energy of formation: 1.71 eV per atom

8.
An optimized crystal structure of Na2FeCuC6N6. Source: the Alexandria database, functional PBE-GGA. Values from VASP.

Quantum ESPRESSO input file:
```
&SYSTEM
  ibrav = 0, nat = 16, ntyp = 5
/
ATOMIC_SPECIES
Na 22.99 Na.upf
Fe 55.84 Fe.upf
Cu 63.55 Cu.upf
C 12.01 C.upf
N 14.01 N.upf
ATOMIC_POSITIONS angstrom
Na 0.0000 0.0000 0.0000
Na 2.1733 0.0000 3.2350
Fe -1.1743 3.0039 3.2350
Cu 3.3476 0.0000 0.0000
C -0.5246 1.8176 4.5271
C -0.5246 4.1901 4.5271
C 0.5035 3.0039 2.3399
C 3.8430 3.0039 4.1301
C 4.8712 1.8176 1.9429
C 4.8712 4.1901 1.9429
N -0.1130 1.2687 5.4911
N -0.1130 4.7391 5.4911
N 1.5297 3.0039 1.7569
N 2.8168 3.0039 4.7132
N 4.4596 1.2687 0.9789
N 4.4596 4.7391 0.9789
CELL_PARAMETERS angstrom
6.6952 0.0000 0.0000
0.0000 6.0078 0.0000
-2.3486 0.0000 6.4700
```

Summary:
- Crystal system: monoclinic
- E above lowest polymorph: 6.05 kJ/mol of atoms
- Formation energy (no corrections): 0.241 eV per atom